Cr2TeOs | the Alexandria database | meta-GGA SCAN | single point on PBEsol structure; M_tot = 0.0001 μB per atom; energy = -143.14 eV for the cell shown; symmetry = R3m; calculated volume = 59 Å³ per cell; energy relative to the elements, uncorrected = 689 meV/atom
1.0
1.4639 0.8452 7.9408
-1.4639 0.8452 7.9408
0.0000 -1.6904 7.9408
Cr Te Os
2 1 1
Direct
0.0000 0.0000 0.0000
0.2645 0.2645 0.2645
0.5097 0.5097 0.5097
0.7473 0.7473 0.7473